1.
First-principles (GGA-PBE) data for a relaxed structure of CuTe2Au, as listed in the Alexandria database.

Results
M_tot = 0.000 μB per formula unit
Electronic total energy = -3.367 eV per atom
Density of states at the Fermi level = 2.1 states/eV/f.u.
Energy relative to the elements, uncorrected = 0.19 eV per formula unit

Lattice parameters (Å, degrees): 5.0081 5.0081 6.2293 71.37 71.37 45.69
Fractional positions:
Au: 0.5758 0.5758 0.3348
Cu: 0.2764 0.2764 0.3793
Te: 0.9593 0.9593 0.1036
Te: 0.6884 0.6884 0.6823

2.
First-principles (GGA-PBE) data for a relaxed structure of PuNp2PdS4, as listed in the Alexandria database.

Results
M_tot = 13.940 μB per formula unit
Electronic total energy = -8.886 eV per atom
Density of states at the Fermi level = 15.8 states/eV/f.u.
Energy relative to the elements, uncorrected = -9.17 eV per formula unit

Lattice parameters (Å, degrees): 6.7510 5.8504 5.8504 70.56 54.76 54.76
Last column: magnetic moment on the atom in μB.
Fractional positions:
Pu: 0.0000 0.0000 0.0000  5.43
Np: 0.0000 0.5000 0.5000  4.11
Np: 0.5000 0.5000 0.5000  4.11
Pd: 0.5000 0.0000 0.0000  -0.20
S: 0.0816 0.4206 0.0000  -0.11
S: 0.9184 0.0000 0.5794  -0.11
S: 0.4978 0.0000 0.4206  -0.11
S: 0.5022 0.5794 0.0000  -0.11

3.
First-principles (GGA-PBE) data for a relaxed structure of LaSmBi2, as listed in the Alexandria database.

Results
Relative energy among the computed polymorphs = 193 meV per atom
E_form = -798 meV per atom
M_tot = 0.000 μB per formula unit
Electronic total energy = -5.150 eV per atom
Density of states at the Fermi level = 2.0 states/eV/f.u.

Lattice parameters (Å, degrees): 3.4763 6.0132 6.0132 90.00 90.00 90.00
Fractional positions:
Bi: 0.0000 0.0000 0.5000
Bi: 0.0000 0.5000 0.0000
Sm: 0.5000 0.0000 0.0000
La: 0.5000 0.5000 0.5000